[1]
LaH6S3N3O9 at its PBEsol-relaxed geometry. Source: Alexandria via LeMat-Bulk, functional meta-GGA SCAN.

```
44
Lattice="9.745 0.000 0.000 -4.872 8.439 0.000 0.000 0.000 5.869" Properties=species:S:1:pos:R:3 pbc="T T T"
La 0.000 5.626 0.000
La 4.872 2.813 2.935
H -2.990 6.173 3.281
H -3.473 7.306 2.132
H 0.282 1.779 2.132
H 1.682 0.645 5.067
H 1.022 2.763 3.281
H 2.904 0.497 0.346
H 1.968 7.943 3.281
H 3.850 5.676 0.346
H 3.191 7.794 2.132
H 4.591 6.660 5.067
H 8.345 1.133 5.067
H 7.863 2.267 0.346
S -1.093 3.346 2.924
S -1.428 7.712 2.924
S 2.351 2.619 5.859
S 2.521 5.820 2.924
S 6.301 0.727 5.859
S 5.965 5.093 5.859
N -2.980 7.171 3.026
N 0.152 2.273 3.026
N 2.045 1.005 0.091
N 2.828 7.434 3.026
N 4.720 6.166 0.091
N 7.852 1.268 0.091
O -2.577 5.920 5.851
O -0.996 4.134 1.685
O -0.966 4.180 4.114
O 1.034 3.247 5.851
O -0.769 7.186 4.114
O -0.795 7.235 1.685
O 3.329 0.728 2.916
O 3.082 2.929 4.620
O 3.137 2.927 1.179
O 1.735 5.512 4.114
O 1.790 5.510 1.685
O 1.543 7.711 5.851
O 5.667 1.204 4.620
O 5.641 1.254 1.179
O 3.838 5.192 2.916
O 5.838 4.259 1.179
O 5.868 4.306 4.620
O 7.449 2.519 2.916
```

## Properties
- Crystal system: hexagonal
- Energy above the lowest structure with this stoichiometry: 0 meV per atom
- VASP energy: -9.3888 eV/atom

[2]
LaH6S3N3O9 at its PBEsol-relaxed geometry. Source: Alexandria via LeMat-Bulk, functional meta-GGA SCAN.

```
44
Lattice="5.825 0.000 0.000 -0.351 9.648 0.000 -0.135 -4.734 8.535" Properties=species:S:1:pos:R:3 pbc="T T T"
La 0.000 0.000 0.000
La 2.628 4.780 2.960
H 0.198 -2.706 5.292
H 0.198 1.803 3.578
H 0.510 0.456 7.774
H 1.981 -0.466 3.694
H 2.124 -1.197 6.424
H 2.199 2.523 6.207
H 2.989 -1.600 7.843
H 3.288 -1.131 2.858
H 3.300 1.303 6.656
H 4.502 1.651 4.264
H 5.081 -1.341 4.980
H 5.265 5.889 0.190
S -0.348 7.345 3.108
S -0.219 3.422 5.008
S 2.714 -3.336 6.445
S 2.466 2.334 8.424
S 2.927 1.002 2.303
S 5.528 3.730 0.681
N 0.093 -1.870 4.695
N 2.411 1.769 6.881
N 2.925 -0.283 3.323
N 2.888 -1.752 6.829
N 5.490 1.881 4.456
N 5.420 0.303 8.223
O -0.218 -2.146 8.334
O 0.143 -1.041 2.383
O 0.741 3.797 1.722
O 0.767 6.431 2.910
O 1.000 5.852 6.776
O 1.189 3.772 4.773
O 1.438 7.940 0.009
O 1.816 0.964 1.347
O 2.504 5.854 0.694
O 2.790 2.159 3.201
O 2.590 6.270 5.007
O 3.375 5.609 7.223
O 3.859 7.776 0.164
O 4.228 0.932 1.646
O 4.182 3.782 1.262
O 4.180 6.719 2.799
O 4.678 4.291 4.269
O 5.258 3.369 6.424
```

## Properties
- Crystal system: triclinic
- Energy above the lowest structure with this stoichiometry: 2 meV per atom
- VASP energy: -9.3868 eV/atom

[3]
NaLa2H at its PBEsol-relaxed geometry. Source: Alexandria via LeMat-Bulk, functional meta-GGA SCAN.

```
4
Lattice="0.000 3.729 3.729 3.729 0.000 3.729 3.729 3.729 0.000" Properties=species:S:1:pos:R:3 pbc="T T T"
Na 0.000 0.000 0.000
La 1.864 1.864 1.864
La 5.593 5.593 5.593
H 3.729 3.729 3.729
```

## Properties
- Crystal system: cubic
- VASP energy: -22.9628 eV/atom

[4]
LaNb2H at its PBEsol-relaxed geometry. Source: Alexandria via LeMat-Bulk, functional meta-GGA SCAN.

```
8
Lattice="0.000 4.210 4.210 4.210 0.000 4.210 4.210 4.210 0.000" Properties=species:S:1:pos:R:3 pbc="T T T"
La 1.052 1.052 1.052
La 7.367 7.367 7.367
Nb 4.210 2.105 2.105
Nb 2.105 4.210 2.105
Nb 2.105 2.105 4.210
Nb 4.210 4.210 4.210
H 3.157 3.157 3.157
H 5.262 5.262 5.262
```

## Properties
- Crystal system: cubic
- VASP energy: -28.1084 eV/atom

[5]
LaNb2H2 at its PBEsol-relaxed geometry. Source: Alexandria via LeMat-Bulk, functional meta-GGA SCAN.

```
10
Lattice="7.383 0.000 0.000 0.000 7.383 0.000 0.000 0.000 2.815" Properties=species:S:1:pos:R:3 pbc="T T T"
La 0.000 0.000 0.000
La 3.692 3.692 0.000
Nb 0.896 2.796 0.000
Nb 2.796 6.487 0.000
Nb 4.587 0.896 0.000
Nb 6.487 4.587 0.000
H 0.746 4.437 1.408
H 2.946 0.746 1.408
H 4.437 6.638 1.408
H 6.638 2.946 1.408
```

## Properties
- Crystal system: tetragonal
- VASP energy: -22.5337 eV/atom

[6]
La2NiH at its PBEsol-relaxed geometry. Source: Alexandria via LeMat-Bulk, functional meta-GGA SCAN.

```
4
Lattice="0.000 3.381 3.381 3.381 0.000 3.381 3.381 3.381 0.000" Properties=species:S:1:pos:R:3 pbc="T T T"
La 1.690 1.690 1.690
La 5.071 5.071 5.071
Ni 0.000 0.000 0.000
H 3.381 3.381 3.381
```

## Properties
- Crystal system: cubic
- VASP energy: -26.5966 eV/atom

[7]
LaNiH2 at its PBEsol-relaxed geometry. Source: Alexandria via LeMat-Bulk, functional meta-GGA SCAN.

```
4
Lattice="0.000 2.896 2.896 2.896 0.000 2.896 2.896 2.896 0.000" Properties=species:S:1:pos:R:3 pbc="T T T"
La 0.000 0.000 0.000
Ni 2.896 2.896 2.896
H 1.448 1.448 1.448
H 4.343 4.343 4.343
```

## Properties
- Crystal system: cubic
- VASP energy: -16.6992 eV/atom

[8]
LaNiH3 at its PBEsol-relaxed geometry. Source: Alexandria via LeMat-Bulk, functional meta-GGA SCAN.

```
5
Lattice="3.634 0.000 0.000 0.000 3.634 0.000 0.000 0.000 3.634" Properties=species:S:1:pos:R:3 pbc="T T T"
La 0.000 0.000 0.000
Ni 1.817 1.817 1.817
H 0.000 1.817 1.817
H 1.817 0.000 1.817
H 1.817 1.817 0.000
```

## Properties
- Crystal system: cubic
- VASP energy: -14.4074 eV/atom

[9]
La3NiH at its PBEsol-relaxed geometry. Source: Alexandria via LeMat-Bulk, functional meta-GGA SCAN.

```
5
Lattice="4.829 0.000 0.000 0.000 4.829 0.000 0.000 0.000 4.829" Properties=species:S:1:pos:R:3 pbc="T T T"
La 0.000 0.000 2.415
La 0.000 2.415 0.000
La 2.415 0.000 0.000
Ni 2.415 2.415 2.415
H 0.000 0.000 0.000
```

## Properties
- Crystal system: cubic
- VASP energy: -29.7174 eV/atom

[10]
LaNiSnH at its PBEsol-relaxed geometry. Source: Alexandria via LeMat-Bulk, functional meta-GGA SCAN.

```
16
Lattice="7.181 0.000 0.000 0.000 4.406 0.000 0.000 0.000 8.517" Properties=species:S:1:pos:R:3 pbc="T T T"
La 0.094 1.102 1.622
La 3.497 3.305 5.880
La 3.684 1.102 2.637
La 7.087 3.305 6.895
Ni 1.569 3.305 3.430
Ni 2.021 1.102 7.689
Ni 5.160 3.305 0.828
Ni 5.612 1.102 5.086
Sn 1.131 1.102 4.830
Sn 2.460 3.305 0.572
Sn 4.721 1.102 7.945
Sn 6.050 3.305 3.687
H 0.436 1.102 7.817
H 3.154 3.305 3.558
H 4.027 1.102 4.958
H 6.745 3.305 0.700
```

## Properties
- Crystal system: orthorhombic
- VASP energy: -25.3403 eV/atom

[11]
LaNiSnH2 at its PBEsol-relaxed geometry. Source: Alexandria via LeMat-Bulk, functional meta-GGA SCAN.

```
10
Lattice="4.374 0.000 0.000 -2.187 3.788 0.000 0.000 0.000 8.579" Properties=species:S:1:pos:R:3 pbc="T T T"
La 0.000 0.000 0.000
La 0.000 0.000 4.289
Ni 0.000 2.525 2.145
Ni 2.187 1.263 6.434
Sn 0.000 2.525 6.434
Sn 2.187 1.263 2.145
H 0.000 2.525 0.551
H 0.000 2.525 3.739
H 2.187 1.263 4.840
H 2.187 1.263 8.028
```

## Properties
- Crystal system: hexagonal
- VASP energy: -21.0931 eV/atom

[12]
LaH3O3 at its PBEsol-relaxed geometry. Source: Alexandria via LeMat-Bulk, functional meta-GGA SCAN.

```
28
Lattice="4.950 0.000 0.000 0.000 11.245 0.000 -0.942 0.000 6.042" Properties=species:S:1:pos:R:3 pbc="T T T"
La 0.391 1.674 0.889
La -0.081 3.948 3.910
La 4.089 7.297 2.132
La 3.618 9.571 5.153
H 0.050 6.729 4.925
H 0.521 10.139 1.904
H 1.522 7.980 0.421
H 1.051 8.888 3.441
H 1.780 7.269 3.967
H 2.251 9.599 0.946
H 1.758 1.646 5.096
H 2.229 3.977 2.075
H 2.957 2.357 2.600
H 2.486 3.266 5.621
H 3.487 1.106 4.138
H 3.958 4.516 1.117
O 0.591 7.625 0.249
O 0.120 9.243 3.269
O 0.322 6.283 4.054
O 0.793 10.585 1.033
O 1.101 2.369 5.339
O 1.572 3.253 2.318
O 2.436 7.992 3.723
O 2.907 8.876 0.702
O 3.215 0.660 5.008
O 3.687 4.963 1.988
O 3.889 2.003 2.772
O 3.418 3.620 5.793
```

## Properties
- Crystal system: monoclinic
- Energy above the lowest structure with this stoichiometry: 107 meV per atom
- VASP energy: -12.3149 eV/atom